Material: AgMoP2O
Method: DFT, GGA+U
State: optimized geometry

Calculated values
Fermi-level density of states (states/eV/atom): 0.63
Energy above the most stable polymorph in this dataset (eV per atom): 0.000

```
AgMoP2O
1.0
4.849 0.000 0.000
0.000 4.849 0.000
0.000 0.000 3.793
P Mo O Ag
2 1 1 1
Direct
0.000 0.500 0.000
0.500 0.000 0.000
0.000 0.000 0.000
0.000 0.000 0.500
0.500 0.500 0.500
```